LiSi2Pd3 | PBE-GGA | relaxed

abc: 6.928 6.928 6.928
angles: 51.14 51.14 51.14
Element x y z (fractional)
1 Li 0.500 0.500 0.500
2 Li 0.000 0.000 0.000
3 Si 0.357 0.357 0.357
4 Si 0.143 0.143 0.143
5 Si 0.857 0.857 0.857
6 Si 0.643 0.643 0.643
7 Pd 0.476 0.024 0.750
8 Pd 0.024 0.750 0.476
9 Pd 0.750 0.476 0.024
10 Pd 0.524 0.976 0.250
11 Pd 0.976 0.250 0.524
12 Pd 0.250 0.524 0.976

Calculated values
Formation energy without anion corrections in meV per atom: -400
M_tot in μB/cell: 0.00
E_tot in Ry/atom: -0.3766
Space-group type: R-3c